(1)
VASP calculation (PBEsol) on an optimized crystal structure of MgIn2Cu.

CIF file:
```
data_MgIn2Cu
_chemical_formula_sum 'Mg1 In2 Cu1'
_cell_length_a 3.122
_cell_length_b 3.122
_cell_length_c 8.161
_cell_angle_alpha 90.00
_cell_angle_beta 90.00
_cell_angle_gamma 90.00
_symmetry_space_group_name_H-M 'P 1'
_symmetry_Int_Tables_number 1
_symmetry_space_group_name_Hall 'P 1'
loop_
_atom_site_label
_atom_site_fract_x
_atom_site_fract_y
_atom_site_fract_z
In1 0.000 0.000 0.949
In2 0.500 0.500 0.261
Mg1 0.000 0.000 0.548
Cu1 0.500 0.500 0.743
```

Computed properties:
ΔE_f   1.5 meV/atom
Space-group type   No. 99
DFT total energy   -3.003 eV/atom



(2)
VASP calculation (PBEsol) on an optimized crystal structure of HfZrSc2Tl.

CIF file:
```
data_HfZrSc2Tl
_chemical_formula_sum 'Hf1 Zr1 Sc2 Tl1'
_cell_length_a 5.164
_cell_length_b 5.164
_cell_length_c 5.337
_cell_angle_alpha 90.00
_cell_angle_beta 90.00
_cell_angle_gamma 90.00
_symmetry_space_group_name_H-M 'P 1'
_symmetry_Int_Tables_number 1
_symmetry_space_group_name_Hall 'P 1'
loop_
_atom_site_label
_atom_site_fract_x
_atom_site_fract_y
_atom_site_fract_z
Hf1 0.500 0.500 0.500
Tl1 0.000 0.000 0.000
Sc1 0.000 0.500 0.000
Sc2 0.500 0.000 0.000
Zr1 0.000 0.000 0.500
```

Computed properties:
ΔE_f   963.6 meV/atom
Space-group type   No. 123
DFT total energy   -6.123 eV/atom



(3)
VASP calculation (PBEsol) on an optimized crystal structure of AlTcBr2.

CIF file:
```
data_AlTcBr2
_chemical_formula_sum 'Al1 Tc1 Br2'
_cell_length_a 3.120
_cell_length_b 4.746
_cell_length_c 4.746
_cell_angle_alpha 90.00
_cell_angle_beta 90.00
_cell_angle_gamma 90.00
_symmetry_space_group_name_H-M 'P 1'
_symmetry_Int_Tables_number 1
_symmetry_space_group_name_Hall 'P 1'
loop_
_atom_site_label
_atom_site_fract_x
_atom_site_fract_y
_atom_site_fract_z
Tc1 0.500 0.500 0.500
Br1 0.000 0.000 0.500
Br2 0.000 0.500 0.000
Al1 0.500 0.000 0.000
```

Computed properties:
Space-group type   No. 123
Formation energy without anion corrections   0.7278 eV/atom
DFT total energy   -4.047 eV/atom



(4)
VASP calculation (PBEsol) on an optimized crystal structure of CoAs2Rh.

CIF file:
```
data_CoAs2Rh
_chemical_formula_sum 'Co1 As2 Rh1'
_cell_length_a 4.277
_cell_length_b 4.277
_cell_length_c 4.277
_cell_angle_alpha 60.00
_cell_angle_beta 60.00
_cell_angle_gamma 60.00
_symmetry_space_group_name_H-M 'P 1'
_symmetry_Int_Tables_number 1
_symmetry_space_group_name_Hall 'P 1'
loop_
_atom_site_label
_atom_site_fract_x
_atom_site_fract_y
_atom_site_fract_z
Co1 0.000 0.000 0.000
As1 0.250 0.250 0.250
As2 0.750 0.750 0.750
Rh1 0.500 0.500 0.500
```

Computed properties:
Energy above the most stable polymorph in this dataset   146 meV/atom
ΔE_f   -34.6 meV/atom
Space-group type   No. 225
DFT total energy   -6.557 eV/atom



(5)
VASP calculation (PBEsol) on an optimized crystal structure of CsGaCCl2.

CIF file:
```
data_CsGaCCl2
_chemical_formula_sum 'Cs1 Ga1 C1 Cl2'
_cell_length_a 3.621
_cell_length_b 5.727
_cell_length_c 5.727
_cell_angle_alpha 90.00
_cell_angle_beta 90.00
_cell_angle_gamma 90.00
_symmetry_space_group_name_H-M 'P 1'
_symmetry_Int_Tables_number 1
_symmetry_space_group_name_Hall 'P 1'
loop_
_atom_site_label
_atom_site_fract_x
_atom_site_fract_y
_atom_site_fract_z
Ga1 0.500 0.000 0.000
Cl1 0.000 0.000 0.500
Cl2 0.000 0.500 0.000
C1 0.000 0.000 0.000
Cs1 0.500 0.500 0.500
```

Computed properties:
Space-group type   No. 123
Formation energy without anion corrections   0.0051 eV/atom
DFT total energy   -3.583 eV/atom



(6)
VASP calculation (PBEsol) on an optimized crystal structure of TmCoO3.

CIF file:
```
data_TmCoO3
_chemical_formula_sum 'Tm4 Co4 O12'
_cell_length_a 4.993
_cell_length_b 5.430
_cell_length_c 7.214
_cell_angle_alpha 90.00
_cell_angle_beta 90.00
_cell_angle_gamma 90.00
_symmetry_space_group_name_H-M 'P 1'
_symmetry_Int_Tables_number 1
_symmetry_space_group_name_Hall 'P 1'
loop_
_atom_site_label
_atom_site_fract_x
_atom_site_fract_y
_atom_site_fract_z
O1 0.109 0.468 0.250
O2 0.314 0.695 0.947
O3 0.609 0.032 0.750
O4 0.314 0.695 0.553
O5 0.391 0.968 0.250
O6 0.814 0.805 0.447
O7 0.186 0.195 0.947
O8 0.686 0.305 0.447
O9 0.186 0.195 0.553
O10 0.814 0.805 0.053
O11 0.686 0.305 0.053
O12 0.891 0.532 0.750
Co1 0.500 0.000 0.500
Co2 0.000 0.500 0.000
Co3 0.500 0.000 0.000
Co4 0.000 0.500 0.500
Tm1 0.526 0.582 0.250
Tm2 0.474 0.418 0.750
Tm3 0.026 0.918 0.750
Tm4 0.974 0.082 0.250
```

Computed properties:
Space-group type   No. 62
Formation energy without anion corrections   -2.4076 eV/atom
DFT total energy   -8.084 eV/atom



(7)
VASP calculation (PBEsol) on an optimized crystal structure of BaTcOs.

CIF file:
```
data_BaTcOs
_chemical_formula_sum 'Ba1 Tc1 Os1'
_cell_length_a 4.548
_cell_length_b 4.548
_cell_length_c 4.548
_cell_angle_alpha 60.00
_cell_angle_beta 60.00
_cell_angle_gamma 60.00
_symmetry_space_group_name_H-M 'P 1'
_symmetry_Int_Tables_number 1
_symmetry_space_group_name_Hall 'P 1'
loop_
_atom_site_label
_atom_site_fract_x
_atom_site_fract_y
_atom_site_fract_z
Os1 0.500 0.500 0.500
Tc1 0.250 0.250 0.250
Ba1 0.000 0.000 0.000
```

Computed properties:
Energy above the most stable polymorph in this dataset   0 meV/atom
ΔE_f   1513.2 meV/atom
Space-group type   No. 216
DFT total energy   -7.031 eV/atom



(8)
VASP calculation (PBEsol) on an optimized crystal structure of BPt.

CIF file:
```
data_BPt
_chemical_formula_sum 'B2 Pt2'
_cell_length_a 3.794
_cell_length_b 3.794
_cell_length_c 4.626
_cell_angle_alpha 114.21
_cell_angle_beta 114.21
_cell_angle_gamma 90.00
_symmetry_space_group_name_H-M 'P 1'
_symmetry_Int_Tables_number 1
_symmetry_space_group_name_Hall 'P 1'
loop_
_atom_site_label
_atom_site_fract_x
_atom_site_fract_y
_atom_site_fract_z
B1 0.387 0.387 0.774
B2 0.613 0.613 0.226
Pt1 0.750 0.250 0.500
Pt2 0.250 0.750 0.500
```

Computed properties:
ΔE_f   -161.2 meV/atom
Space-group type   No. 139
DFT total energy   -7.151 eV/atom



(9)
VASP calculation (PBEsol) on an optimized crystal structure of Li3Co2Cu3O10.

CIF file:
```
data_Li3Co2Cu3O10
_chemical_formula_sum 'Li3 Co2 Cu3 O10'
_cell_length_a 4.960
_cell_length_b 5.145
_cell_length_c 7.278
_cell_angle_alpha 108.47
_cell_angle_beta 100.26
_cell_angle_gamma 102.36
_symmetry_space_group_name_H-M 'P 1'
_symmetry_Int_Tables_number 1
_symmetry_space_group_name_Hall 'P 1'
loop_
_atom_site_label
_atom_site_fract_x
_atom_site_fract_y
_atom_site_fract_z
Li1 0.500 0.500 0.500
Li2 0.783 0.078 0.588
Li3 0.217 0.922 0.412
O1 0.550 0.143 0.342
O2 0.888 0.669 0.457
O3 0.450 0.857 0.658
O4 0.318 0.730 0.951
O5 0.682 0.270 0.049
O6 0.112 0.331 0.543
O7 0.056 0.046 0.835
O8 0.207 0.469 0.231
O9 0.793 0.531 0.769
O10 0.944 0.954 0.165
Co1 0.888 0.302 0.306
Co2 0.112 0.698 0.694
Cu1 0.697 0.883 0.902
Cu2 0.303 0.117 0.098
Cu3 0.000 0.500 0.000
```

Computed properties:
Space-group type   No. 2
Formation energy without anion corrections   -1.0090 eV/atom
DFT total energy   -5.835 eV/atom



(10)
VASP calculation (PBEsol) on an optimized crystal structure of MgTlBr3.

CIF file:
```
data_MgTlBr3
_chemical_formula_sum 'Mg1 Tl1 Br3'
_cell_length_a 5.234
_cell_length_b 5.234
_cell_length_c 5.234
_cell_angle_alpha 90.00
_cell_angle_beta 90.00
_cell_angle_gamma 90.00
_symmetry_space_group_name_H-M 'P 1'
_symmetry_Int_Tables_number 1
_symmetry_space_group_name_Hall 'P 1'
loop_
_atom_site_label
_atom_site_fract_x
_atom_site_fract_y
_atom_site_fract_z
Br1 0.000 0.000 0.500
Br2 0.000 0.500 0.000
Br3 0.500 0.000 0.000
Mg1 0.000 0.000 0.000
Tl1 0.500 0.500 0.500
```

Computed properties:
Space-group type   No. 221
Formation energy without anion corrections   -1.1433 eV/atom
DFT total energy   -3.135 eV/atom



(11)
VASP calculation (PBEsol) on an optimized crystal structure of GaNi2Hg.

CIF file:
```
data_GaNi2Hg
_chemical_formula_sum 'Ga1 Ni2 Hg1'
_cell_length_a 4.240
_cell_length_b 4.240
_cell_length_c 4.240
_cell_angle_alpha 60.00
_cell_angle_beta 60.00
_cell_angle_gamma 60.00
_symmetry_space_group_name_H-M 'P 1'
_symmetry_Int_Tables_number 1
_symmetry_space_group_name_Hall 'P 1'
loop_
_atom_site_label
_atom_site_fract_x
_atom_site_fract_y
_atom_site_fract_z
Hg1 0.500 0.500 0.500
Ni1 0.750 0.750 0.750
Ni2 0.250 0.250 0.250
Ga1 0.000 0.000 0.000
```

Computed properties:
ΔE_f   -70.8 meV/atom
Space-group type   No. 225
DFT total energy   -4.126 eV/atom



(12)
VASP calculation (PBEsol) on an optimized crystal structure of TlCoF2.

CIF file:
```
data_TlCoF2
_chemical_formula_sum 'Tl1 Co1 F2'
_cell_length_a 4.292
_cell_length_b 4.292
_cell_length_c 4.292
_cell_angle_alpha 60.00
_cell_angle_beta 60.00
_cell_angle_gamma 60.00
_symmetry_space_group_name_H-M 'P 1'
_symmetry_Int_Tables_number 1
_symmetry_space_group_name_Hall 'P 1'
loop_
_atom_site_label
_atom_site_fract_x
_atom_site_fract_y
_atom_site_fract_z
Tl1 0.500 0.500 0.500
F1 0.750 0.750 0.750
F2 0.250 0.250 0.250
Co1 0.000 0.000 0.000
```

Computed properties:
Space-group type   No. 225
Formation energy without anion corrections   -0.6361 eV/atom
DFT total energy   -4.192 eV/atom



Number 1: magnetic moment 0.00 μB per cell. Number 2: magnetic moment 2.84 μB per cell. Number 3: magnetic moment 0.00 μB per cell. Number 4: magnetic moment 1.41 μB per cell. Number 5: magnetic moment 0.00 μB per cell. Number 6: magnetic moment 0.00 μB per cell. Number 7: magnetic moment 0.00 μB per cell. Number 8: magnetic moment 0.00 μB per cell. Number 9: magnetic moment 0.02 μB per cell. Number 10: magnetic moment 0.00 μB per cell. Number 11: magnetic moment 0.00 μB per cell. Number 12: magnetic moment 2.00 μB per cell.